1.
Below is a relaxed structure of Li2ScMn, with properties calculated at the GGA-PBE level.

N(E_F) (states/eV per atom): 0.872
Final energy (eV for the cell shown): -35.720
Crystal system: orthorhombic
Calculated formation energy (kJ/mol of atoms): 35.4
Space-group type: Cmmm (65)

a = 3.2730 Å, b = 4.7309 Å, c = 9.7619 Å
α = 90.00°, β = 90.00°, γ = 90.00°
Sites, in units of the cell vectors:
Li: 0.0000 0.0000 0.2304
Li: 0.0000 0.0000 0.7696
Li: 0.5000 0.5000 0.2304
Li: 0.5000 0.5000 0.7696
Sc: 0.0000 0.5000 0.5000
Sc: 0.5000 0.0000 0.5000
Mn: 0.0000 0.5000 0.0000
Mn: 0.5000 0.0000 0.0000


2.
Below is a relaxed structure of CsPuScSe3, with properties calculated at the GGA-PBE level.

N(E_F) (states/eV per atom): 1.562
Final energy (eV for the cell shown): -81.426
Crystal system: monoclinic
Space-group type: P2_1/m (11)
Formation energy (no corrections) (eV/atom): -1.457

a = 9.0574 Å, b = 4.6786 Å, c = 10.5513 Å
α = 90.00°, β = 115.34°, γ = 90.00°
Sites, in units of the cell vectors:
Cs: 0.0047 0.2500 0.2609
Cs: 0.9953 0.7500 0.7391
Pu: 0.4280 0.2500 0.1148
Pu: 0.5720 0.7500 0.8852
Sc: 0.4985 0.2500 0.6359
Sc: 0.5015 0.7500 0.3641
Se: 0.2305 0.7500 0.1354
Se: 0.3426 0.2500 0.8192
Se: 0.3581 0.7500 0.5462
Se: 0.6419 0.2500 0.4538
Se: 0.6574 0.7500 0.1808
Se: 0.7695 0.2500 0.8646


3.
Below is a relaxed structure of TbErCuPb, with properties calculated at the GGA-PBE level.

N(E_F) (states/eV per atom): 1.047
Final energy (eV for the cell shown): -72.635
Crystal system: cubic
Calculated formation energy (kJ/mol of atoms): -28.0
Space-group type: F-43m (216)

a = 7.3399 Å, b = 7.3399 Å, c = 7.3399 Å
α = 90.00°, β = 90.00°, γ = 90.00°
Sites, in units of the cell vectors:
Tb: 0.0000 0.0000 0.0000
Tb: 0.0000 0.5000 0.5000
Tb: 0.5000 0.0000 0.5000
Tb: 0.5000 0.5000 0.0000
Er: 0.0000 0.0000 0.5000
Er: 0.0000 0.5000 0.0000
Er: 0.5000 0.0000 0.0000
Er: 0.5000 0.5000 0.5000
Cu: 0.2500 0.2500 0.2500
Cu: 0.2500 0.7500 0.7500
Cu: 0.7500 0.2500 0.7500
Cu: 0.7500 0.7500 0.2500
Pb: 0.2500 0.2500 0.7500
Pb: 0.2500 0.7500 0.2500
Pb: 0.7500 0.2500 0.2500
Pb: 0.7500 0.7500 0.7500


4.
Below is a relaxed structure of Mg3Si4, with properties calculated at the GGA-PBE level.

N(E_F) (states/eV per atom): 0.265
Final energy (eV for the cell shown): -51.635
Crystal system: triclinic
Space-group type: P1 (1)
Formation energy (no corrections) (eV/atom): 0.094

a = 5.7941 Å, b = 6.0308 Å, c = 8.2725 Å
α = 69.24°, β = 79.81°, γ = 84.84°
Sites, in units of the cell vectors:
Mg: 0.0000 0.0000 0.0000
Mg: 0.0149 0.4576 0.0720
Mg: 0.0985 0.4478 0.6464
Mg: 0.5129 0.7326 0.0100
Mg: 0.6415 0.5250 0.3819
Mg: 0.8883 0.9520 0.4158
Si: 0.1763 0.6401 0.2893
Si: 0.2586 0.2142 0.3629
Si: 0.3060 0.0058 0.6673
Si: 0.4254 0.2741 0.9282
Si: 0.5463 0.6502 0.6880
Si: 0.6206 0.2130 0.1739
Si: 0.6876 0.1755 0.6985
Si: 0.8987 0.7919 0.7698


5.
Below is a relaxed structure of KTl2S2, with properties calculated at the GGA-PBE level.

N(E_F) (states/eV per atom): 0.706
Final energy (eV for the cell shown): -32.024
Crystal system: tetragonal
Space-group type: P4/mbm (127)
Formation energy (no corrections) (eV/atom): -0.385

a = 8.3752 Å, b = 8.3752 Å, c = 3.9650 Å
α = 90.00°, β = 90.00°, γ = 90.00°
Sites, in units of the cell vectors:
K: 0.0000 0.0000 0.0000
K: 0.5000 0.5000 0.0000
Tl: 0.1382 0.3618 0.5000
Tl: 0.3618 0.8618 0.5000
Tl: 0.6382 0.1382 0.5000
Tl: 0.8618 0.6382 0.5000
S: 0.1626 0.6626 0.0000
S: 0.3374 0.1626 0.0000
S: 0.6626 0.8374 0.0000
S: 0.8374 0.3374 0.0000


6.
Below is a relaxed structure of LaInMo2, with properties calculated at the GGA-PBE level.

N(E_F) (states/eV per atom): 1.368
Final energy (eV for the cell shown): -27.026
Crystal system: tetragonal
Calculated formation energy (kJ/mol of atoms): 55.5
Space-group type: P4/mmm (123)

a = 4.6781 Å, b = 4.6781 Å, c = 3.7030 Å
α = 90.00°, β = 90.00°, γ = 90.00°
Sites, in units of the cell vectors:
La: 0.0000 0.0000 0.0000
In: 0.5000 0.5000 0.0000
Mo: 0.0000 0.5000 0.5000
Mo: 0.5000 0.0000 0.5000


What did the second record say?
Below is a relaxed structure of CsPuScSe3, with properties calculated at the GGA-PBE level.

N(E_F) (states/eV per atom): 1.562
Final energy (eV for the cell shown): -81.426
Crystal system: monoclinic
Space-group type: P2_1/m (11)
Formation energy (no corrections) (eV/atom): -1.457

a = 9.0574 Å, b = 4.6786 Å, c = 10.5513 Å
α = 90.00°, β = 115.34°, γ = 90.00°
Sites, in units of the cell vectors:
Cs: 0.0047 0.2500 0.2609
Cs: 0.9953 0.7500 0.7391
Pu: 0.4280 0.2500 0.1148
Pu: 0.5720 0.7500 0.8852
Sc: 0.4985 0.2500 0.6359
Sc: 0.5015 0.7500 0.3641
Se: 0.2305 0.7500 0.1354
Se: 0.3426 0.2500 0.8192
Se: 0.3581 0.7500 0.5462
Se: 0.6419 0.2500 0.4538
Se: 0.6574 0.7500 0.1808
Se: 0.7695 0.2500 0.8646